(1)
Density functional theory data (PBE-GGA) for a relaxed structure of Rb5AuI8.

- formation energy without anion corrections (eV per atom) = -1.024
- total magnetic moment (μB/cell) = 0.0
- SG = No. 82
- VASP energy (eV per atom) = -2.49

Unit cell a=9.774 b=9.774 c=9.774 alpha=112.60 beta=112.60 gamma=103.38
Positions (direct):
Rb (0.000, 0.000, 0.000)
Rb (0.106, 0.531, 0.850)
Rb (0.469, 0.318, 0.575)
Rb (0.682, 0.257, 0.150)
Rb (0.743, 0.894, 0.425)
Au (0.250, 0.750, 0.500)
I (0.023, 0.216, 0.419)
I (0.239, 0.016, 0.710)
I (0.306, 0.528, 0.290)
I (0.396, 0.977, 0.193)
I (0.472, 0.761, 0.777)
I (0.784, 0.203, 0.807)
I (0.797, 0.604, 0.581)
I (0.984, 0.694, 0.223)



(2)
Density functional theory data (PBE-GGA) for a relaxed structure of Rb3Au5I12.

- formation energy without anion corrections (eV per atom) = -0.417
- total magnetic moment (μB/cell) = 0.0
- SG = No. 230
- VASP energy (eV per atom) = -2.31

Unit cell a=16.345 b=16.345 c=16.345 alpha=109.47 beta=109.47 gamma=109.47
Positions (direct):
Rb (0.125, 0.250, 0.375)
Rb (0.125, 0.375, 0.750)
Rb (0.250, 0.375, 0.125)
Rb (0.250, 0.875, 0.625)
Rb (0.375, 0.125, 0.250)
Rb (0.375, 0.750, 0.125)
Rb (0.625, 0.250, 0.875)
Rb (0.625, 0.875, 0.750)
Rb (0.750, 0.125, 0.375)
Rb (0.750, 0.625, 0.875)
Rb (0.875, 0.625, 0.250)
Rb (0.875, 0.750, 0.625)
Au (0.000, 0.000, 0.000)
Au (0.000, 0.000, 0.500)
Au (0.000, 0.500, 0.000)
Au (0.000, 0.500, 0.500)
Au (0.125, 0.750, 0.875)
Au (0.125, 0.875, 0.250)
Au (0.250, 0.125, 0.875)
Au (0.250, 0.625, 0.375)
Au (0.375, 0.250, 0.625)
Au (0.375, 0.625, 0.750)
Au (0.500, 0.000, 0.000)
Au (0.500, 0.000, 0.500)
Au (0.500, 0.500, 0.000)
Au (0.500, 0.500, 0.500)
Au (0.625, 0.375, 0.250)
Au (0.625, 0.750, 0.375)
Au (0.750, 0.375, 0.625)
Au (0.750, 0.875, 0.125)
Au (0.875, 0.125, 0.750)
Au (0.875, 0.250, 0.125)
I (0.013, 0.189, 0.113)
I (0.013, 0.323, 0.900)
I (0.077, 0.689, 0.677)
I (0.077, 0.887, 0.400)
I (0.100, 0.613, 0.423)
I (0.100, 0.987, 0.677)
I (0.113, 0.013, 0.189)
I (0.113, 0.600, 0.923)
I (0.177, 0.189, 0.577)
I (0.177, 0.487, 0.600)
I (0.189, 0.113, 0.013)
I (0.189, 0.577, 0.177)
I (0.311, 0.323, 0.923)
I (0.311, 0.487, 0.387)
I (0.323, 0.900, 0.013)
I (0.323, 0.923, 0.311)
I (0.387, 0.311, 0.487)
I (0.387, 0.577, 0.900)
I (0.400, 0.077, 0.887)
I (0.400, 0.823, 0.513)
I (0.423, 0.100, 0.613)
I (0.423, 0.823, 0.811)
I (0.487, 0.387, 0.311)
I (0.487, 0.600, 0.177)
I (0.513, 0.400, 0.823)
I (0.513, 0.613, 0.689)
I (0.577, 0.177, 0.189)
I (0.577, 0.900, 0.387)
I (0.600, 0.177, 0.487)
I (0.600, 0.923, 0.113)
I (0.613, 0.423, 0.100)
I (0.613, 0.689, 0.513)
I (0.677, 0.077, 0.689)
I (0.677, 0.100, 0.987)
I (0.689, 0.513, 0.613)
I (0.689, 0.677, 0.077)
I (0.811, 0.423, 0.823)
I (0.811, 0.887, 0.987)
I (0.823, 0.513, 0.400)
I (0.823, 0.811, 0.423)
I (0.887, 0.400, 0.077)
I (0.887, 0.987, 0.811)
I (0.900, 0.013, 0.323)
I (0.900, 0.387, 0.577)
I (0.923, 0.113, 0.600)
I (0.923, 0.311, 0.323)
I (0.987, 0.677, 0.100)
I (0.987, 0.811, 0.887)



(3)
Density functional theory data (PBE-GGA) for a relaxed structure of Rb8Au4I3.

- formation energy without anion corrections (eV per atom) = -0.720
- total magnetic moment (μB/cell) = 0.6
- SG = No. 12
- VASP energy (eV per atom) = -2.42

Unit cell a=10.283 b=10.283 c=10.265 alpha=119.74 beta=119.74 gamma=90.19
Positions (direct):
Rb (0.243, 0.757, 0.000)
Rb (0.247, 0.247, 0.484)
Rb (0.250, 0.250, 0.007)
Rb (0.255, 0.745, 0.500)
Rb (0.745, 0.255, 0.500)
Rb (0.750, 0.750, 0.993)
Rb (0.753, 0.753, 0.516)
Rb (0.757, 0.243, 0.000)
Au (0.000, 0.000, 0.000)
Au (0.000, 0.500, 0.000)
Au (0.500, 0.000, 0.000)
Au (0.500, 0.500, 0.500)
I (0.000, 0.000, 0.500)
I (0.000, 0.500, 0.500)
I (0.500, 0.000, 0.500)



(4)
Density functional theory data (PBE-GGA) for a relaxed structure of Rb7Au5I.

- formation energy without anion corrections (eV per atom) = -0.427
- total magnetic moment (μB/cell) = 0.0
- SG = No. 8
- VASP energy (eV per atom) = -2.33

Unit cell a=8.805 b=8.805 c=29.922 alpha=90.14 beta=90.14 gamma=32.55
Positions (direct):
Rb (0.000, 0.000, 0.000)
Rb (0.000, 0.000, 0.154)
Rb (0.084, 0.084, 0.725)
Rb (0.089, 0.089, 0.429)
Rb (0.266, 0.266, 0.930)
Rb (0.267, 0.267, 0.224)
Rb (0.350, 0.350, 0.655)
Rb (0.354, 0.354, 0.500)
Rb (0.540, 0.540, 0.863)
Rb (0.542, 0.542, 0.292)
Rb (0.618, 0.618, 0.577)
Rb (0.734, 0.734, 0.077)
Rb (0.810, 0.810, 0.792)
Rb (0.813, 0.813, 0.363)
Au (0.175, 0.175, 0.827)
Au (0.178, 0.178, 0.327)
Au (0.447, 0.447, 0.755)
Au (0.451, 0.451, 0.401)
Au (0.639, 0.639, 0.976)
Au (0.640, 0.640, 0.178)
Au (0.711, 0.711, 0.679)
Au (0.715, 0.715, 0.476)
Au (0.903, 0.903, 0.901)
Au (0.905, 0.905, 0.254)
I (0.395, 0.395, 0.077)
I (0.956, 0.956, 0.579)



(5)
Density functional theory data (PBE-GGA) for a relaxed structure of RbAuI2.

- polymorph energy (0 for the lowest one) (meV/atom) = 456
- formation energy without anion corrections (eV per atom) = -0.323
- total magnetic moment (μB/cell) = 0.0
- SG = No. 225
- VASP energy (eV per atom) = -2.16

Unit cell a=5.819 b=5.819 c=5.819 alpha=60.00 beta=60.00 gamma=60.00
Positions (direct):
Rb (0.000, 0.000, 0.000)
Au (0.500, 0.500, 0.500)
I (0.250, 0.250, 0.250)
I (0.750, 0.750, 0.750)



(6)
Density functional theory data (PBE-GGA) for a relaxed structure of RbAu4I12.

- formation energy without anion corrections (eV per atom) = -0.113
- total magnetic moment (μB/cell) = 0.0
- SG = No. 204
- VASP energy (eV per atom) = -2.03

Unit cell a=9.545 b=9.545 c=9.545 alpha=109.47 beta=109.47 gamma=109.47
Positions (direct):
Rb (0.000, 0.000, 0.000)
Au (0.000, 0.000, 0.500)
Au (0.000, 0.500, 0.000)
Au (0.500, 0.000, 0.000)
Au (0.500, 0.500, 0.500)
I (0.102, 0.299, 0.803)
I (0.197, 0.496, 0.299)
I (0.197, 0.898, 0.701)
I (0.299, 0.197, 0.496)
I (0.299, 0.803, 0.102)
I (0.496, 0.299, 0.197)
I (0.504, 0.701, 0.803)
I (0.701, 0.197, 0.898)
I (0.701, 0.803, 0.504)
I (0.803, 0.102, 0.299)
I (0.803, 0.504, 0.701)
I (0.898, 0.701, 0.197)



(7)
Density functional theory data (PBE-GGA) for a relaxed structure of Rb2Au2I7.

- polymorph energy (0 for the lowest one) (meV/atom) = 0
- formation energy without anion corrections (eV per atom) = -0.544
- total magnetic moment (μB/cell) = 0.0
- SG = No. 14
- VASP energy (eV per atom) = -2.30

Unit cell a=5.270 b=22.957 c=8.908 alpha=90.00 beta=94.58 gamma=90.00
Positions (direct):
Rb (0.227, 0.141, 0.040)
Rb (0.227, 0.359, 0.540)
Rb (0.773, 0.641, 0.460)
Rb (0.773, 0.859, 0.960)
Au (0.235, 0.599, 0.878)
Au (0.235, 0.901, 0.378)
Au (0.765, 0.099, 0.622)
Au (0.765, 0.401, 0.122)
I (0.000, 0.000, 0.500)
I (0.000, 0.500, 0.000)
I (0.227, 0.648, 0.149)
I (0.227, 0.852, 0.649)
I (0.303, 0.541, 0.626)
I (0.303, 0.959, 0.126)
I (0.308, 0.705, 0.736)
I (0.308, 0.795, 0.236)
I (0.692, 0.205, 0.764)
I (0.692, 0.295, 0.264)
I (0.697, 0.041, 0.874)
I (0.697, 0.459, 0.374)
I (0.773, 0.148, 0.351)
I (0.773, 0.352, 0.851)



(8)
Density functional theory data (PBE-GGA) for a relaxed structure of RbAuI4.

- formation energy without anion corrections (eV per atom) = -0.543
- total magnetic moment (μB/cell) = 0.0
- SG = No. 15
- VASP energy (eV per atom) = -2.28

Unit cell a=8.690 b=8.690 c=16.485 alpha=118.66 beta=118.66 gamma=33.73
Positions (direct):
Rb (0.000, 0.500, 0.000)
Rb (0.500, 0.000, 0.500)
Au (0.249, 0.751, 0.750)
Au (0.751, 0.249, 0.250)
I (0.071, 0.572, 0.704)
I (0.198, 0.702, 0.569)
I (0.298, 0.802, 0.931)
I (0.428, 0.929, 0.796)
I (0.572, 0.071, 0.204)
I (0.702, 0.198, 0.069)
I (0.802, 0.298, 0.431)
I (0.929, 0.428, 0.296)



(9)
Density functional theory data (PBE-GGA) for a relaxed structure of Rb7AuI5.

- formation energy without anion corrections (eV per atom) = -1.156
- total magnetic moment (μB/cell) = 0.0
- SG = No. 8
- VASP energy (eV per atom) = -2.53

Unit cell a=9.208 b=9.208 c=31.153 alpha=90.04 beta=90.04 gamma=32.06
Positions (direct):
Rb (0.000, 0.000, 0.000)
Rb (0.000, 0.000, 0.136)
Rb (0.108, 0.108, 0.709)
Rb (0.109, 0.109, 0.427)
Rb (0.280, 0.280, 0.209)
Rb (0.280, 0.280, 0.928)
Rb (0.389, 0.389, 0.500)
Rb (0.389, 0.389, 0.637)
Rb (0.557, 0.557, 0.856)
Rb (0.558, 0.558, 0.281)
Rb (0.631, 0.631, 0.568)
Rb (0.758, 0.758, 0.068)
Rb (0.831, 0.831, 0.781)
Rb (0.832, 0.832, 0.356)
Au (0.403, 0.403, 0.068)
Au (0.986, 0.986, 0.569)
I (0.194, 0.194, 0.818)
I (0.195, 0.195, 0.318)
I (0.471, 0.471, 0.391)
I (0.471, 0.471, 0.746)
I (0.646, 0.646, 0.170)
I (0.646, 0.646, 0.966)
I (0.742, 0.742, 0.670)
I (0.743, 0.743, 0.466)
I (0.918, 0.918, 0.245)
I (0.918, 0.918, 0.891)



(10)
Density functional theory data (PBE-GGA) for a relaxed structure of Rb3AuI.

- polymorph energy (0 for the lowest one) (meV/atom) = 0
- formation energy without anion corrections (eV per atom) = -0.667
- total magnetic moment (μB/cell) = 0.0
- SG = No. 11
- VASP energy (eV per atom) = -2.21

Unit cell a=9.957 b=4.982 c=10.281 alpha=90.00 beta=104.06 gamma=90.00
Positions (direct):
Rb (0.095, 0.250, 0.252)
Rb (0.278, 0.250, 0.930)
Rb (0.308, 0.750, 0.577)
Rb (0.692, 0.250, 0.423)
Rb (0.722, 0.750, 0.070)
Rb (0.905, 0.750, 0.748)
Au (0.057, 0.250, 0.578)
Au (0.943, 0.750, 0.422)
I (0.417, 0.750, 0.228)
I (0.583, 0.250, 0.772)



(11)
Density functional theory data (PBE-GGA) for a relaxed structure of RbAu2I4.

- polymorph energy (0 for the lowest one) (meV/atom) = 0
- formation energy without anion corrections (eV per atom) = -0.430
- total magnetic moment (μB/cell) = 0.0
- SG = No. 2
- VASP energy (eV per atom) = -2.39

Unit cell a=8.565 b=8.569 c=11.553 alpha=103.13 beta=101.44 gamma=115.09
Positions (direct):
Rb (0.246, 0.495, 0.250)
Rb (0.754, 0.505, 0.750)
Au (0.000, 0.000, 0.000)
Au (0.000, 0.000, 0.500)
Au (0.000, 0.500, 0.500)
Au (0.500, 0.000, 0.000)
I (0.200, 0.697, 0.002)
I (0.218, 0.838, 0.530)
I (0.306, 0.302, 0.502)
I (0.308, 0.187, 0.968)
I (0.692, 0.813, 0.032)
I (0.694, 0.698, 0.498)
I (0.782, 0.162, 0.470)
I (0.800, 0.303, 0.998)



(12)
Density functional theory data (PBE-GGA) for a relaxed structure of Rb3AuI.

- polymorph energy (0 for the lowest one) (meV/atom) = 129
- formation energy without anion corrections (eV per atom) = -0.538
- total magnetic moment (μB/cell) = 0.0
- SG = No. 221
- VASP energy (eV per atom) = -2.08

Unit cell a=6.635 b=6.635 c=6.635 alpha=90.00 beta=90.00 gamma=90.00
Positions (direct):
Rb (0.000, 0.000, 0.500)
Rb (0.000, 0.500, 0.000)
Rb (0.500, 0.000, 0.000)
Au (0.000, 0.000, 0.000)
I (0.500, 0.500, 0.500)